Record 1
# Pm3SiS

A geometry-optimized Pm3SiS structure (PBE, Alexandria).

Lattice parameters (Å, degrees): 4.1119 12.7301 10.1788 90.00 90.00 90.00
With the nearest neighbours (Å) after each atom.
Space group Cmcm (No. 63)
Asymmetric unit:
1 Pm 0.0000 0.0762 0.2500 x4  2 S 2.72, 2 Si 2.95
2 Pm 0.0000 0.3550 0.0697 x8  2 S 2.85, 2 Si 3.11
3 Si 0.0000 0.2575 0.7500 x4  6 Pm 2.95-3.11
4 S 0.0000 0.0000 0.0000 x4  6 Pm 2.72-2.85

Values from the calculation:
- E_form (uncorrected): -1116 meV per atom
- Crystal system: orthorhombic

Record 2
# Pm2SiS

A geometry-optimized Pm2SiS structure (PBE, Alexandria).

Lattice parameters (Å, degrees): 3.4287 3.4287 7.6366 90.00 90.00 90.00
With the nearest neighbours (Å) after each atom.
Space group P4/mmm (No. 123)
Asymmetric unit:
1 Pm 0.0000 0.0000 0.2398 x2  4 S 3.04, 4 Si 3.13
2 Si 0.5000 0.5000 0.5000 x1  8 Pm 3.13, 4 Si 3.43
3 S 0.5000 0.5000 0.0000 x1  8 Pm 3.04

Values from the calculation:
- E_form (uncorrected): -1086 meV per atom
- Energy above the most stable polymorph in this dataset: 322 meV per atom
- Crystal system: tetragonal

Record 3
# Pm8SiS6

A geometry-optimized Pm8SiS6 structure (PBE, Alexandria).

Lattice parameters (Å, degrees): 10.3549 10.3549 4.0816 90.00 90.00 120.00
With the nearest neighbours (Å) after each atom.
Space group P-3 (No. 147)
Asymmetric unit:
1 Pm 0.0326 0.3252 0.2549 x6  4 S 2.74-3.00
2 Pm 0.3333 0.6667 0.7488 x2  6 S 2.85
3 Si 0.0000 0.0000 0.5000 x1  6 Pm 3.36
4 S 0.1337 0.6515 0.2493 x6  6 Pm 2.74-3.00

Values from the calculation:
- E_form (uncorrected): -1497 meV per atom
- Crystal system: trigonal